This record from Alexandria via LeMat-Bulk describes crystalline RbPrV2O8 at its relaxed geometry. The functional is GGA+U.

Results
The value obtained for the total moment is 2.0 Bohr magnetons per cell. The calculated total energy is -83.37 eV per cell.

Cell lengths 6.0340, 6.0340, 8.2237 Å; angles 90.00, 90.00, 120.00 degrees
Last column: magnetic moment on the atom in μB.
Element x y z (fractional)
O 0.8227 0.1735 0.3159  0.20
O 0.6493 0.8227 0.6841  0.20
O 0.8265 0.6493 0.3159  0.20
O 0.3333 0.6667 0.9616  0.38
O 0.1735 0.3507 0.6841  0.20
O 0.6667 0.3333 0.0384  0.38
O 0.3507 0.1773 0.3159  0.20
O 0.1773 0.8265 0.6841  0.20
Pr 0.0000 0.0000 0.5000  -0.01
Rb 0.0000 0.0000 0.0000  0.00
V 0.3333 0.6667 0.7524  -0.18
V 0.6667 0.3333 0.2476  -0.18